The following is a PBE calculation of a geometry-optimized Tm4Te2C structure, from Alexandria via LeMat-Bulk.

Results
The mass density comes out at 8.6 g/cm3. As for the calculated volume: 26.1 Å³ per atom. The relative energy among the computed polymorphs is 15 meV/atom. Its uncorrected formation energy is -4.76 eV per formula unit.

abc: 7.233 6.720 7.794
angles: 90.00 105.52 90.00
Positions (direct):
Tm: 0.001 0.002 0.249
Tm: 0.001 0.498 0.249
Tm: 0.381 0.250 0.586
Tm: 0.383 0.250 0.106
Tm: 0.617 0.750 0.894
Tm: 0.619 0.750 0.414
Tm: 0.999 0.502 0.751
Tm: 0.999 0.998 0.751
Te: 0.261 0.750 0.567
Te: 0.264 0.750 0.064
Te: 0.736 0.250 0.936
Te: 0.739 0.250 0.433
C: 0.207 0.250 0.303
C: 0.793 0.750 0.697

---

The following is a PBE calculation of a geometry-optimized ZrNb4Se8 structure, from Alexandria via LeMat-Bulk.

Results
The mass density comes out at 6.4 g/cm3. As for the calculated volume: 22.0 Å³ per atom. Its uncorrected formation energy is -10.93 eV per formula unit.

abc: 7.646 7.646 7.646
angles: 55.82 55.82 55.82
Positions (direct):
Zr: 0.000 0.000 0.000
Nb: 0.000 0.000 0.500
Nb: 0.000 0.500 0.000
Nb: 0.500 0.000 0.000
Nb: 0.500 0.500 0.500
Se: 0.251 0.251 0.251
Se: 0.254 0.254 0.734
Se: 0.254 0.734 0.254
Se: 0.266 0.746 0.746
Se: 0.734 0.254 0.254
Se: 0.746 0.266 0.746
Se: 0.746 0.746 0.266
Se: 0.749 0.749 0.749

---

The following is a PBE calculation of a geometry-optimized SrMnCr2 structure, from Alexandria via LeMat-Bulk.

Results
The energy of formation from the pure elements is 27.3 kcal/mol of atoms. The mass density comes out at 4.4 g/cm3. As for the calculated volume: 23.4 Å³ per atom. The relative energy among the computed polymorphs is 630 meV/atom.

abc: 5.586 5.586 5.586
angles: 132.33 132.33 69.71
Positions (direct):
Sr: 0.000 0.000 0.000
Mn: 0.750 0.250 0.500
Cr: 0.250 0.750 0.500
Cr: 0.500 0.500 0.000

---

The following is a PBE calculation of a geometry-optimized K2YTa structure, from Alexandria via LeMat-Bulk.

Results
The energy of formation from the pure elements is 39.8 kcal/mol of atoms. The mass density comes out at 4.3 g/cm3. As for the calculated volume: 33.5 Å³ per atom. The relative energy among the computed polymorphs is 1038 meV/atom.

abc: 5.745 5.745 5.745
angles: 60.00 60.00 60.00
Positions (direct):
K: 0.250 0.250 0.250
K: 0.750 0.750 0.750
Y: 0.000 0.000 0.000
Ta: 0.500 0.500 0.500

---

The following is a PBE calculation of a geometry-optimized Sr2CuAu2O6 structure, from Alexandria via LeMat-Bulk.

Results
The mass density comes out at 7.1 g/cm3. As for the calculated volume: 15.5 Å³ per atom. Its uncorrected formation energy is -9.61 eV per formula unit.

abc: 6.396 6.396 6.396
angles: 56.69 56.69 56.69
Positions (direct):
Sr: 0.210 0.210 0.210
Sr: 0.790 0.790 0.790
Cu: 0.000 0.000 0.000
Au: 0.409 0.409 0.409
Au: 0.591 0.591 0.591
O: 0.197 0.776 0.776
O: 0.224 0.224 0.803
O: 0.224 0.803 0.224
O: 0.776 0.197 0.776
O: 0.776 0.776 0.197
O: 0.803 0.224 0.224

---

The following is a PBE calculation of a geometry-optimized BaHfHg2 structure, from Alexandria via LeMat-Bulk.

Results
The energy of formation from the pure elements is 3.4 kcal/mol of atoms. The mass density comes out at 10.4 g/cm3. As for the calculated volume: 28.5 Å³ per atom. The relative energy among the computed polymorphs is 0 meV/atom.

abc: 5.445 5.445 5.445
angles: 60.00 60.00 60.00
Positions (direct):
Ba: 0.000 0.000 0.000
Hf: 0.500 0.500 0.500
Hg: 0.250 0.250 0.250
Hg: 0.750 0.750 0.750